A relaxed As2HF crystal. Source: Alexandria via LeMat-Bulk, functional PBE-GGA. Values from VASP.

Computed properties:
N(E_F) = 0.8 states/eV/f.u.
Energy above the most stable polymorph in this dataset = 98.6 meV per atom
Total magnetic moment = 0.0 μB per cell

```
&SYSTEM
  ibrav = 0, nat = 4, ntyp = 3
/
ATOMIC_SPECIES
H 1.01 H.upf
As 74.92 As.upf
F 19.00 F.upf
CELL_PARAMETERS angstrom
0.000 2.945 2.945
2.945 0.000 2.945
2.945 2.945 0.000
ATOMIC_POSITIONS angstrom
H 0.000 0.000 0.000
As 1.473 1.473 1.473
As 4.418 4.418 4.418
F 2.945 2.945 2.945
```


A relaxed As2HF crystal. Source: Alexandria via LeMat-Bulk, functional PBE-GGA. Values from VASP.

Computed properties:
N(E_F) = 2.0 states/eV/f.u.
Energy above the most stable polymorph in this dataset = 0.0 meV per atom
Total magnetic moment = 0.0 μB per cell

```
&SYSTEM
  ibrav = 0, nat = 8, ntyp = 3
/
ATOMIC_SPECIES
H 1.01 H.upf
As 74.92 As.upf
F 19.00 F.upf
CELL_PARAMETERS angstrom
-1.875 2.896 -3.641
-3.976 -3.036 -0.368
-5.250 2.576 1.297
ATOMIC_POSITIONS angstrom
H -2.925 -0.070 -2.004
H -6.076 -0.265 -0.538
As -2.802 1.798 -1.650
As -4.211 -0.615 -0.708
As -6.511 1.590 -0.566
As -8.678 2.099 -2.500
F 0.000 0.000 0.000
F -5.025 2.701 -2.174
```


A relaxed AsHF2 crystal. Source: Alexandria via LeMat-Bulk, functional PBE-GGA. Values from VASP.

Computed properties:
N(E_F) = 0.0 states/eV/f.u.
Total magnetic moment = 0.0 μB per cell

```
&SYSTEM
  ibrav = 0, nat = 4, ntyp = 3
/
ATOMIC_SPECIES
H 1.01 H.upf
As 74.92 As.upf
F 19.00 F.upf
CELL_PARAMETERS angstrom
0.523 0.781 3.741
-2.235 2.607 1.757
-2.619 -1.138 2.593
ATOMIC_POSITIONS angstrom
H 0.000 0.000 0.000
As -2.165 1.125 4.045
F -1.083 0.562 2.023
F -3.248 1.687 6.068
```


| no. | raw total energy (eV/atom) |
| --- | --- |
| 1 | -3.42 |
| 2 | -3.52 |
| 3 | -3.32 |